(1)
A plane-wave DFT calculation with PBE-GGA was carried out for a geometry-optimized Ba2ScCu structure.

Output
Energy of formation from the pure elements = 0.201 eV per atom
DOS at the Fermi energy = 6.550 states/eV per cell
V = 35.75 Å³/atom

Unit cell a=7.198 b=7.198 c=5.919 alpha=65.70 beta=65.70 gamma=31.05
Positions (direct):
1 Cu 0.471 0.471 0.529
2 Ba 0.201 0.201 0.299
3 Ba 0.005 0.005 0.995
4 Sc 0.823 0.823 0.677

(2)
A plane-wave DFT calculation with PBE-GGA was carried out for a geometry-optimized BaSc4Cu structure.

Output
Energy of formation from the pure elements = 0.570 eV per atom
DOS at the Fermi energy = 13.092 states/eV per cell
V = 27.94 Å³/atom

Unit cell a=6.189 b=6.189 c=6.189 alpha=60.00 beta=60.00 gamma=60.00
Positions (direct):
1 Sc 0.881 0.373 0.373
2 Sc 0.373 0.373 0.373
3 Sc 0.373 0.373 0.881
4 Cu 0.000 0.000 0.000
5 Sc 0.373 0.881 0.373
6 Ba 0.750 0.750 0.750

(3)
A plane-wave DFT calculation with PBE-GGA was carried out for a geometry-optimized Ba2ScCu structure.

Output
Energy of formation from the pure elements = 0.177 eV per atom
DOS at the Fermi energy = 5.241 states/eV per cell
V = 36.98 Å³/atom

Unit cell a=9.924 b=9.924 c=9.924 alpha=158.31 beta=155.81 gamma=32.71
Positions (direct):
1 Ba 0.598 0.598 0.000
2 Cu 0.750 0.250 0.500
3 Sc 0.250 0.750 0.500
4 Ba 0.902 0.902 0.000

(4)
A plane-wave DFT calculation with PBE-GGA was carried out for a geometry-optimized Ba2ScCu structure.

Output
Energy of formation from the pure elements = 0.404 eV per atom
DOS at the Fermi energy = 4.908 states/eV per cell
V = 34.07 Å³/atom

Unit cell a=6.837 b=6.837 c=5.693 alpha=65.38 beta=65.38 gamma=34.69
Positions (direct):
1 Sc 0.750 0.750 0.750
2 Ba 0.548 0.548 0.452
3 Cu 0.250 0.250 0.250
4 Ba 0.952 0.952 0.048

(5)
A plane-wave DFT calculation with PBE-GGA was carried out for a geometry-optimized Ba2ScCu structure.

Output
Energy of formation from the pure elements = 0.473 eV per atom
DOS at the Fermi energy = 5.814 states/eV per cell
V = 34.77 Å³/atom

Unit cell a=6.838 b=6.838 c=6.838 alpha=138.47 beta=138.47 gamma=60.18
Positions (direct):
1 Ba 0.250 0.750 0.500
2 Ba 0.000 0.000 0.000
3 Sc 0.750 0.250 0.500
4 Cu 0.500 0.500 0.000

(6)
A plane-wave DFT calculation with PBE-GGA was carried out for a geometry-optimized Ba4ScCu structure.

Output
Energy of formation from the pure elements = 0.805 eV per atom
DOS at the Fermi energy = 11.340 states/eV per cell
V = 46.33 Å³/atom

Unit cell a=7.325 b=7.325 c=7.325 alpha=60.00 beta=60.00 gamma=60.00
Positions (direct):
1 Sc 0.000 0.000 0.000
2 Ba 0.875 0.375 0.375
3 Ba 0.375 0.875 0.375
4 Ba 0.375 0.375 0.375
5 Cu 0.750 0.750 0.750
6 Ba 0.375 0.375 0.875

(7)
A plane-wave DFT calculation with PBE-GGA was carried out for a geometry-optimized Ba2ScCu structure.

Output
Energy of formation from the pure elements = 0.281 eV per atom
DOS at the Fermi energy = 5.948 states/eV per cell
V = 35.71 Å³/atom

Unit cell a=3.915 b=3.907 c=10.125 alpha=67.26 beta=90.00 gamma=90.00
Positions (direct):
1 Cu 0.500 0.250 0.250
2 Sc 0.500 0.750 0.750
3 Ba 0.000 0.542 0.458
4 Ba 0.000 0.958 0.042

(8)
A plane-wave DFT calculation with PBE-GGA was carried out for a geometry-optimized Ba2ScCu structure.

Output
Energy of formation from the pure elements = 0.126 eV per atom
DOS at the Fermi energy = 5.101 states/eV per cell
V = 34.62 Å³/atom

Unit cell a=3.723 b=3.723 c=9.989 alpha=90.00 beta=90.00 gamma=89.92
Positions (direct):
1 Cu 0.000 0.000 0.559
2 Ba 0.000 0.000 0.952
3 Ba 0.500 0.500 0.328
4 Sc 0.500 0.500 0.661

(9)
A plane-wave DFT calculation with PBE-GGA was carried out for a geometry-optimized Ba2ScCu structure.

Output
Energy of formation from the pure elements = 0.476 eV per atom
DOS at the Fermi energy = 5.974 states/eV per cell
V = 35.72 Å³/atom

Unit cell a=5.868 b=5.868 c=5.868 alpha=60.00 beta=60.00 gamma=60.00
Positions (direct):
1 Ba 0.250 0.250 0.250
2 Sc 0.000 0.000 0.000
3 Ba 0.750 0.750 0.750
4 Cu 0.500 0.500 0.500

(10)
A plane-wave DFT calculation with PBE-GGA was carried out for a geometry-optimized BaScCu3 structure.

Output
Energy of formation from the pure elements = 1.270 eV per atom
DOS at the Fermi energy = 5.194 states/eV per cell
V = 29.50 Å³/atom

Unit cell a=5.283 b=5.283 c=5.283 alpha=90.00 beta=90.00 gamma=90.00
Positions (direct):
1 Ba 0.000 0.000 0.000
2 Cu 0.000 0.500 0.000
3 Cu 0.000 0.000 0.500
4 Sc 0.500 0.500 0.500
5 Cu 0.500 0.000 0.000

(11)
A plane-wave DFT calculation with PBE-GGA was carried out for a geometry-optimized Ba2ScCu structure.

Output
Energy of formation from the pure elements = 0.198 eV per atom
DOS at the Fermi energy = 6.416 states/eV per cell
V = 37.33 Å³/atom

Unit cell a=4.052 b=5.574 c=7.176 alpha=67.11 beta=90.00 gamma=90.00
Positions (direct):
1 Sc 0.500 0.578 0.719
2 Ba 0.000 0.958 0.959
3 Ba 0.500 0.259 0.358
4 Cu 0.000 0.705 0.464

(12)
A plane-wave DFT calculation with PBE-GGA was carried out for a geometry-optimized BaScCu3 structure.

Output
Energy of formation from the pure elements = 0.348 eV per atom
DOS at the Fermi energy = 3.534 states/eV per cell
V = 25.95 Å³/atom

Unit cell a=5.062 b=5.062 c=5.062 alpha=90.00 beta=90.00 gamma=90.00
Positions (direct):
1 Cu 0.000 0.500 0.000
2 Cu 0.000 0.000 0.500
3 Cu 0.500 0.000 0.000
4 Sc 0.000 0.000 0.000
5 Ba 0.500 0.500 0.500

(13)
A plane-wave DFT calculation with PBE-GGA was carried out for a geometry-optimized Ba2ScCu structure.

Output
Energy of formation from the pure elements = 0.482 eV per atom
DOS at the Fermi energy = 4.458 states/eV per cell
V = 31.38 Å³/atom

Unit cell a=5.620 b=5.620 c=5.620 alpha=60.00 beta=60.00 gamma=60.00
Positions (direct):
1 Ba 0.250 0.250 0.250
2 Ba 0.000 0.000 0.000
3 Cu 0.500 0.500 0.500
4 Sc 0.750 0.750 0.750

(14)
A plane-wave DFT calculation with PBE-GGA was carried out for a geometry-optimized Ba2ScCu structure.

Output
Energy of formation from the pure elements = 0.367 eV per atom
DOS at the Fermi energy = 5.527 states/eV per cell
V = 35.13 Å³/atom

Unit cell a=5.930 b=5.934 c=3.993 alpha=90.00 beta=90.00 gamma=90.00
Positions (direct):
1 Sc 0.000 0.500 0.500
2 Ba 0.000 0.000 0.000
3 Cu 0.500 0.000 0.500
4 Ba 0.500 0.500 0.000

(15)
A plane-wave DFT calculation with PBE-GGA was carried out for a geometry-optimized Ba2ScCu structure.

Output
Energy of formation from the pure elements = 0.389 eV per atom
DOS at the Fermi energy = 4.499 states/eV per cell
V = 37.78 Å³/atom

Unit cell a=10.645 b=10.645 c=10.645 alpha=22.21 beta=22.21 gamma=22.21
Positions (direct):
1 Cu 0.250 0.250 0.250
2 Ba 0.987 0.987 0.987
3 Ba 0.513 0.513 0.513
4 Sc 0.750 0.750 0.750

(16)
A plane-wave DFT calculation with PBE-GGA was carried out for a geometry-optimized Ba3ScCu structure.

Output
Energy of formation from the pure elements = 0.362 eV per atom
DOS at the Fermi energy = 10.024 states/eV per cell
V = 47.76 Å³/atom

Unit cell a=6.204 b=6.204 c=6.204 alpha=90.00 beta=90.00 gamma=90.00
Positions (direct):
1 Sc 0.500 0.500 0.500
2 Cu 0.000 0.000 0.000
3 Ba 0.000 0.500 0.000
4 Ba 0.500 0.000 0.000
5 Ba 0.000 0.000 0.500

(17)
A plane-wave DFT calculation with PBE-GGA was carried out for a geometry-optimized BaScCu2Se4 structure.

Output
ΔE_f (raw) = -0.981 eV per atom
DOS at the Fermi energy = 3.440 states/eV per cell
V = 26.54 Å³/atom

Unit cell a=6.604 b=6.577 c=6.577 alpha=70.36 beta=59.87 gamma=59.87
Positions (direct):
1 Cu 0.153 0.347 0.347
2 Ba 0.000 0.000 0.000
3 Sc 0.500 0.500 0.500
4 Se 0.097 0.872 0.483
5 Cu 0.847 0.653 0.653
6 Se 0.903 0.517 0.128
7 Se 0.548 0.483 0.872
8 Se 0.452 0.128 0.517

(18)
A plane-wave DFT calculation with PBE-GGA was carried out for a geometry-optimized Ba3ScCu2Se6 structure.

Output
ΔE_f (raw) = -1.228 eV per atom
DOS at the Fermi energy = 8.194 states/eV per cell
V = 34.35 Å³/atom

Unit cell a=7.542 b=7.542 c=8.366 alpha=90.00 beta=90.00 gamma=120.00
Positions (direct):
1 Ba 0.667 0.333 0.374
2 Ba 0.000 0.000 0.000
3 Se 0.320 0.160 0.702
4 Ba 0.333 0.667 0.626
5 Sc 0.000 0.000 0.500
6 Se 0.160 0.840 0.298
7 Se 0.840 0.160 0.702
8 Cu 0.333 0.667 0.249
9 Se 0.160 0.320 0.298
10 Se 0.680 0.840 0.298
11 Se 0.840 0.680 0.702
12 Cu 0.667 0.333 0.751

(19)
A plane-wave DFT calculation with PBE-GGA was carried out for a geometry-optimized BaSc2CuSe4 structure.

Output
ΔE_f (raw) = -1.468 eV per atom
DOS at the Fermi energy = 5.663 states/eV per cell
V = 23.84 Å³/atom

Unit cell a=4.086 b=7.050 c=13.835 alpha=90.00 beta=90.00 gamma=106.85
Positions (direct):
1 Se 0.261 0.523 0.106
2 Cu 0.155 0.311 0.250
3 Sc 0.375 0.751 0.558
4 Se 0.439 0.877 0.750
5 Se 0.261 0.523 0.394
6 Ba 0.122 0.244 0.750
7 Sc 0.375 0.751 0.942
8 Cu 0.845 0.689 0.750
9 Sc 0.625 0.249 0.442
10 Se 0.739 0.477 0.894
11 Sc 0.625 0.249 0.058
12 Se 0.739 0.477 0.606
13 Se 0.561 0.123 0.250
14 Se 0.000 0.000 0.500
15 Se 0.000 0.000 0.000
16 Ba 0.878 0.756 0.250

(20)
A plane-wave DFT calculation with PBE-GGA was carried out for a geometry-optimized BaScCu2Si structure.

Output
ΔE_f (raw) = 1.057 eV per atom
DOS at the Fermi energy = 4.435 states/eV per cell
V = 28.89 Å³/atom

Unit cell a=4.851 b=6.137 c=4.851 alpha=90.00 beta=90.00 gamma=90.00
Positions (direct):
1 Si 0.500 0.500 0.500
2 Cu 0.500 0.000 0.000
3 Sc 0.000 0.000 0.000
4 Ba 0.000 0.500 0.000
5 Cu 0.000 0.000 0.500